Record 1
VASP calculation (GGA-PBE) on an optimized crystal structure of MgMn2Co.

Unit cell a=4.2086 b=4.2086 c=4.2086 alpha=60.00 beta=60.00 gamma=60.00
Last column: magnetic moment on the atom in μB.
Sites, in units of the cell vectors:
Mn (0.2500, 0.2500, 0.2500)  3.00
Mn (0.0000, 0.0000, 0.0000)  -2.80
Mg (0.7500, 0.7500, 0.7500)  -0.01
Co (0.5000, 0.5000, 0.5000)  0.95

## Properties
Its energy of formation from the pure elements is 0.1722 eV per atom. Its space-group type is No. 216. The value obtained for the density of states at the Fermi level is 4.460 states/eV/f.u.

=====

Record 2
VASP calculation (GGA-PBE) on an optimized crystal structure of Pm2Sm3Rh4.

Unit cell a=7.4893 b=7.7638 c=7.7239 alpha=90.00 beta=90.00 gamma=108.86
Sites, in units of the cell vectors:
Rh (0.6469, 0.9164, 0.0336)
Rh (0.8531, 0.0836, 0.5336)
Rh (0.3531, 0.0836, 0.9664)
Rh (0.8704, 0.4862, 0.1329)
Rh (0.1469, 0.9164, 0.4664)
Rh (0.1296, 0.5138, 0.8671)
Rh (0.3704, 0.4862, 0.3671)
Rh (0.6296, 0.5138, 0.6329)
Pm (0.5770, 0.1933, 0.3197)
Pm (0.0770, 0.1933, 0.1803)
Pm (0.9230, 0.8067, 0.8197)
Pm (0.4230, 0.8067, 0.6803)
Sm (0.0000, 0.5000, 0.5000)
Sm (0.7532, 0.7595, 0.3307)
Sm (0.7468, 0.2405, 0.8307)
Sm (0.2468, 0.2405, 0.6693)
Sm (0.5000, 0.5000, 0.0000)
Sm (0.2532, 0.7595, 0.1693)

## Properties
Its energy of formation from the pure elements is -0.6999 eV per atom. Its space-group type is No. 14. The value obtained for the density of states at the Fermi level is 3.846 states/eV/f.u.